(1)
Entry from Alexandria via LeMat-Bulk: crystalline SmHg2Rh at its relaxed geometry (GGA-PBE).

Lattice parameters (Å, degrees): 4.1734 4.1734 5.0589 90.00 90.00 90.00
Last column: nearest neighbours and their distance in Å.
Element x y z (fractional)
Sm1 0.0000 0.0000 0.0000  4 Rh 2.95, 8 Hg 3.28
Hg1 0.0000 0.5000 0.5000  4 Hg 2.95, 4 Rh 3.28, 4 Sm 3.28
Hg2 0.5000 0.0000 0.5000  4 Hg 2.95, 4 Rh 3.28, 4 Sm 3.28
Rh1 0.5000 0.5000 0.0000  4 Sm 2.95, 8 Hg 3.28

The electronic total energy is -0.25260 Ry/atom. The calculated density is 12.33 Mg/m³.

---

(2)
Entry from Alexandria via LeMat-Bulk: crystalline Sm2TiIn8 at its relaxed geometry (GGA-PBE).

Lattice parameters (Å, degrees): 4.6253 4.6253 12.9458 90.00 90.00 90.00
Last column: nearest neighbours and their distance in Å.
Element x y z (fractional)
Sm1 0.0000 0.0000 0.1831  12 In 3.27-3.33
Sm2 0.0000 0.0000 0.8169  12 In 3.27-3.33
Ti1 0.0000 0.0000 0.5000  8 In 2.87
In1 0.0000 0.5000 0.0000  8 In 3.27-3.33, 4 Sm 3.31
In2 0.0000 0.5000 0.3683  2 Ti 2.87
In3 0.0000 0.5000 0.6317  2 Ti 2.87
In4 0.5000 0.0000 0.0000  8 In 3.27-3.33, 4 Sm 3.31
In5 0.5000 0.0000 0.3683  2 Ti 2.87
In6 0.5000 0.0000 0.6317  2 Ti 2.87
In7 0.5000 0.5000 0.1850  4 Sm 3.27, 8 In 3.31-3.33
In8 0.5000 0.5000 0.8150  4 Sm 3.27, 8 In 3.31-3.33

The electronic total energy is -0.28562 Ry/atom. The calculated density is 7.60 Mg/m³.

---

(3)
Entry from Alexandria via LeMat-Bulk: crystalline Li2Ru3O8 at its relaxed geometry (GGA-PBE).

Lattice parameters (Å, degrees): 6.7186 6.7186 8.6919 90.00 90.00 129.03
Last column: nearest neighbours and their distance in Å.
Element x y z (fractional)
Li1 0.1162 0.8838 0.8787  4 O 2.01-2.05
Li2 0.3838 0.6162 0.3787  4 O 2.01-2.05
Li3 0.6162 0.3838 0.6213  4 O 2.01-2.05
Li4 0.8838 0.1162 0.1213  4 O 2.01-2.05
Ru1 0.0000 0.0000 0.5000  6 O 1.96-2.01
Ru2 0.1071 0.3929 0.7500  6 O 1.91-2.12
Ru3 0.3929 0.1071 0.2500  6 O 1.91-2.12
Ru4 0.5000 0.5000 0.0000  6 O 1.96-2.01
Ru5 0.6071 0.8929 0.7500  6 O 1.91-2.12
Ru6 0.8929 0.6071 0.2500  6 O 1.91-2.12
O1 0.0154 0.9846 0.2694  3 Ru 2.01-2.12, 1 Li 2.05
O2 0.1305 0.3519 0.5350  2 Ru 1.91-1.96, 1 Li 2.02
O3 0.1481 0.3695 0.9650  2 Ru 1.91-1.96, 1 Li 2.02
O4 0.2477 0.7523 0.7382  2 Ru 1.97, 1 Li 2.01
O5 0.2523 0.7477 0.2382  2 Ru 1.97, 1 Li 2.01
O6 0.3519 0.1305 0.4650  2 Ru 1.91-1.96, 1 Li 2.02
O7 0.3695 0.1481 0.0350  2 Ru 1.91-1.96, 1 Li 2.02
O8 0.4846 0.5154 0.7694  3 Ru 2.01-2.12, 1 Li 2.05
O9 0.5154 0.4846 0.2306  3 Ru 2.01-2.12, 1 Li 2.05
O10 0.6305 0.8519 0.9650  2 Ru 1.91-1.96, 1 Li 2.02
O11 0.6481 0.8695 0.5350  2 Ru 1.91-1.96, 1 Li 2.02
O12 0.7477 0.2523 0.7618  2 Ru 1.97, 1 Li 2.01
O13 0.7523 0.2477 0.2618  2 Ru 1.97, 1 Li 2.01
O14 0.8519 0.6305 0.0350  2 Ru 1.91-1.96, 1 Li 2.02
O15 0.8695 0.6481 0.4650  2 Ru 1.91-1.96, 1 Li 2.02
O16 0.9846 0.0154 0.7306  3 Ru 2.01-2.12, 1 Li 2.05

The electronic total energy is -0.48687 Ry/atom. The calculation puts the raw formation energy at -1.138 eV/atom. The calculated density is 4.85 Mg/m³.